# 1
# Hf3AlMo (meta-GGA SCAN, PBEsol geometry)
# Formation enthalpy at 0 K in eV/atom: 1.260
# Symmetry: Pm-3m, No. 221
# D(E_F) in states/eV/atom: 1.637
data_Hf3AlMo
_chemical_formula_sum 'Hf3 Al1 Mo1'
_cell_length_a 4.804
_cell_length_b 4.804
_cell_length_c 4.804
_cell_angle_alpha 90.00
_cell_angle_beta 90.00
_cell_angle_gamma 90.00
_space_group_name_H-M_alt 'P 1'
_space_group_IT_number 1
loop_
_space_group_symop_operation_xyz
'x,y,z'
loop_
_atom_site_label
_atom_site_fract_x
_atom_site_fract_y
_atom_site_fract_z
Hf1 0.000 0.000 0.500
Hf2 0.000 0.500 0.000
Hf3 0.500 0.000 0.000
Al1 0.000 0.000 0.000
Mo1 0.500 0.500 0.500

---

# 2
# HfAlMo (meta-GGA SCAN, PBEsol geometry)
# Formation enthalpy at 0 K in eV/atom: -0.341
# Symmetry: Amm2, No. 38
# D(E_F) in states/eV/atom: 0.754
data_HfAlMo
_chemical_formula_sum 'Hf4 Al4 Mo4'
_cell_length_a 8.658
_cell_length_b 5.244
_cell_length_c 5.244
_cell_angle_alpha 59.76
_cell_angle_beta 90.00
_cell_angle_gamma 90.00
_space_group_name_H-M_alt 'P 1'
_space_group_IT_number 1
loop_
_space_group_symop_operation_xyz
'x,y,z'
loop_
_atom_site_label
_atom_site_fract_x
_atom_site_fract_y
_atom_site_fract_z
Hf1 0.184 0.000 0.000
Hf2 0.314 0.335 0.335
Hf3 0.686 0.335 0.335
Hf4 0.816 0.000 0.000
Al1 0.251 0.674 0.674
Al2 0.500 0.329 0.839
Al3 0.500 0.839 0.329
Al4 0.749 0.674 0.674
Mo1 0.000 0.015 0.500
Mo2 0.000 0.500 0.015
Mo3 0.000 0.502 0.502
Mo4 0.500 0.839 0.839

---

# 3
# Hf5Al3N (meta-GGA SCAN, PBEsol geometry)
# Symmetry: P6_3/mcm, No. 193
# ΔE_f (raw) in kJ/mol of atoms: -70.3
# D(E_F) in states/eV/atom: 0.604
data_Hf5Al3N
_chemical_formula_sum 'Hf10 Al6 N2'
_cell_length_a 8.033
_cell_length_b 8.033
_cell_length_c 5.562
_cell_angle_alpha 90.00
_cell_angle_beta 90.00
_cell_angle_gamma 120.00
_space_group_name_H-M_alt 'P 1'
_space_group_IT_number 1
loop_
_space_group_symop_operation_xyz
'x,y,z'
loop_
_atom_site_label
_atom_site_fract_x
_atom_site_fract_y
_atom_site_fract_z
Hf1 0.000 0.224 0.250
Hf2 0.000 0.776 0.750
Hf3 0.224 0.000 0.250
Hf4 0.224 0.224 0.750
Hf5 0.333 0.667 0.000
Hf6 0.333 0.667 0.500
Hf7 0.667 0.333 0.000
Hf8 0.667 0.333 0.500
Hf9 0.776 0.000 0.750
Hf10 0.776 0.776 0.250
Al1 0.000 0.403 0.750
Al2 0.000 0.597 0.250
Al3 0.403 0.000 0.750
Al4 0.403 0.403 0.250
Al5 0.597 0.000 0.250
Al6 0.597 0.597 0.750
N1 0.000 0.000 0.000
N2 0.000 0.000 0.500

---

# 4
# Hf2AlN (meta-GGA SCAN, PBEsol geometry)
# Symmetry: I-42d, No. 122
# ΔE_f (raw) in kJ/mol of atoms: -60.3
# D(E_F) in states/eV/atom: 0.451
data_Hf2AlN
_chemical_formula_sum 'Hf4 Al2 N2'
_cell_length_a 5.622
_cell_length_b 5.622
_cell_length_c 5.622
_cell_angle_alpha 110.01
_cell_angle_beta 110.01
_cell_angle_gamma 108.40
_space_group_name_H-M_alt 'P 1'
_space_group_IT_number 1
loop_
_space_group_symop_operation_xyz
'x,y,z'
loop_
_atom_site_label
_atom_site_fract_x
_atom_site_fract_y
_atom_site_fract_z
Hf1 0.036 0.625 0.911
Hf2 0.375 0.286 0.411
Hf3 0.714 0.125 0.089
Hf4 0.875 0.964 0.589
Al1 0.250 0.750 0.500
Al2 0.500 0.500 0.000
N1 0.000 0.000 0.000
N2 0.750 0.250 0.500

---

# 5
# HfNbAl2N (meta-GGA SCAN, PBEsol geometry)
# Symmetry: P4/mmm, No. 123
# ΔE_f (raw) in kJ/mol of atoms: 208.2
# D(E_F) in states/eV/atom: 0.620
data_HfNbAl2N
_chemical_formula_sum 'Hf1 Nb1 Al2 N1'
_cell_length_a 5.164
_cell_length_b 5.164
_cell_length_c 4.736
_cell_angle_alpha 90.00
_cell_angle_beta 90.00
_cell_angle_gamma 90.00
_space_group_name_H-M_alt 'P 1'
_space_group_IT_number 1
loop_
_space_group_symop_operation_xyz
'x,y,z'
loop_
_atom_site_label
_atom_site_fract_x
_atom_site_fract_y
_atom_site_fract_z
Hf1 0.000 0.000 0.000
Nb1 0.000 0.000 0.500
Al1 0.000 0.500 0.000
Al2 0.500 0.000 0.000
N1 0.500 0.500 0.500

---

# 6
# HfAlRuN2 (meta-GGA SCAN, PBEsol geometry)
# Symmetry: P4/mmm, No. 123
# ΔE_f (raw) in kJ/mol of atoms: 76.6
# D(E_F) in states/eV/atom: 0.262
data_HfAlRuN2
_chemical_formula_sum 'Hf1 Al1 Ru1 N2'
_cell_length_a 4.035
_cell_length_b 4.035
_cell_length_c 5.128
_cell_angle_alpha 90.00
_cell_angle_beta 90.00
_cell_angle_gamma 90.00
_space_group_name_H-M_alt 'P 1'
_space_group_IT_number 1
loop_
_space_group_symop_operation_xyz
'x,y,z'
loop_
_atom_site_label
_atom_site_fract_x
_atom_site_fract_y
_atom_site_fract_z
Hf1 0.000 0.000 0.000
Al1 0.500 0.500 0.500
Ru1 0.000 0.000 0.500
N1 0.000 0.500 0.000
N2 0.500 0.000 0.000

---

# 7
# NaHfAl2 (meta-GGA SCAN, PBEsol geometry)
# Formation enthalpy at 0 K in eV/atom: 0.177
# Symmetry: Fm-3m, No. 225
# D(E_F) in states/eV/atom: 0.642
data_NaHfAl2
_chemical_formula_sum 'Na1 Hf1 Al2'
_cell_length_a 4.776
_cell_length_b 4.776
_cell_length_c 4.776
_cell_angle_alpha 60.00
_cell_angle_beta 60.00
_cell_angle_gamma 60.00
_space_group_name_H-M_alt 'P 1'
_space_group_IT_number 1
loop_
_space_group_symop_operation_xyz
'x,y,z'
loop_
_atom_site_label
_atom_site_fract_x
_atom_site_fract_y
_atom_site_fract_z
Na1 0.000 0.000 0.000
Hf1 0.500 0.500 0.500
Al1 0.250 0.250 0.250
Al2 0.750 0.750 0.750

---

# 8
# NaHf2Al (meta-GGA SCAN, PBEsol geometry)
# Formation enthalpy at 0 K in eV/atom: 0.728
# Symmetry: I-42d, No. 122
# D(E_F) in states/eV/atom: 0.805
data_NaHf2Al
_chemical_formula_sum 'Na2 Hf4 Al2'
_cell_length_a 11.008
_cell_length_b 11.008
_cell_length_c 11.008
_cell_angle_alpha 158.55
_cell_angle_beta 158.55
_cell_angle_gamma 30.52
_space_group_name_H-M_alt 'P 1'
_space_group_IT_number 1
loop_
_space_group_symop_operation_xyz
'x,y,z'
loop_
_atom_site_label
_atom_site_fract_x
_atom_site_fract_y
_atom_site_fract_z
Na1 0.000 0.000 0.000
Na2 0.750 0.250 0.500
Hf1 0.142 0.625 0.017
Hf2 0.375 0.392 0.517
Hf3 0.608 0.125 0.983
Hf4 0.875 0.858 0.483
Al1 0.250 0.750 0.500
Al2 0.500 0.500 0.000

---

# 9
# HfNb3Al (meta-GGA SCAN, PBEsol geometry)
# Formation enthalpy at 0 K in eV/atom: 1.460
# Symmetry: Pm-3m, No. 221
# D(E_F) in states/eV/atom: 0.853
data_HfNb3Al
_chemical_formula_sum 'Hf1 Nb3 Al1'
_cell_length_a 4.821
_cell_length_b 4.821
_cell_length_c 4.821
_cell_angle_alpha 90.00
_cell_angle_beta 90.00
_cell_angle_gamma 90.00
_space_group_name_H-M_alt 'P 1'
_space_group_IT_number 1
loop_
_space_group_symop_operation_xyz
'x,y,z'
loop_
_atom_site_label
_atom_site_fract_x
_atom_site_fract_y
_atom_site_fract_z
Hf1 0.000 0.000 0.000
Nb1 0.000 0.000 0.500
Nb2 0.000 0.500 0.000
Nb3 0.500 0.000 0.000
Al1 0.500 0.500 0.500

---

# 10
# HfTiNbAl2 (meta-GGA SCAN, PBEsol geometry)
# Formation enthalpy at 0 K in eV/atom: 0.924
# Symmetry: P4/mmm, No. 123
# D(E_F) in states/eV/atom: 0.814
data_HfTiNbAl2
_chemical_formula_sum 'Hf1 Ti1 Nb1 Al2'
_cell_length_a 4.865
_cell_length_b 4.865
_cell_length_c 4.792
_cell_angle_alpha 90.00
_cell_angle_beta 90.00
_cell_angle_gamma 90.00
_space_group_name_H-M_alt 'P 1'
_space_group_IT_number 1
loop_
_space_group_symop_operation_xyz
'x,y,z'
loop_
_atom_site_label
_atom_site_fract_x
_atom_site_fract_y
_atom_site_fract_z
Hf1 0.000 0.000 0.000
Ti1 0.500 0.500 0.000
Nb1 0.000 0.000 0.500
Al1 0.000 0.500 0.500
Al2 0.500 0.000 0.500

---

# 11
# HfAl2Ni2 (meta-GGA SCAN, PBEsol geometry)
# Formation enthalpy at 0 K in eV/atom: -0.430
# Symmetry: I4/mmm, No. 139
# D(E_F) in states/eV/atom: 0.776
data_HfAl2Ni2
_chemical_formula_sum 'Hf1 Al2 Ni2'
_cell_length_a 5.756
_cell_length_b 5.756
_cell_length_c 5.756
_cell_angle_alpha 141.78
_cell_angle_beta 141.78
_cell_angle_gamma 55.15
_space_group_name_H-M_alt 'P 1'
_space_group_IT_number 1
loop_
_space_group_symop_operation_xyz
'x,y,z'
loop_
_atom_site_label
_atom_site_fract_x
_atom_site_fract_y
_atom_site_fract_z
Hf1 0.000 0.000 0.000
Al1 0.380 0.380 0.000
Al2 0.620 0.620 0.000
Ni1 0.250 0.750 0.500
Ni2 0.750 0.250 0.500

---

Please write out number 2 again, unchanged.
# HfAlMo (meta-GGA SCAN, PBEsol geometry)
# Formation enthalpy at 0 K in eV/atom: -0.341
# Symmetry: Amm2, No. 38
# D(E_F) in states/eV/atom: 0.754
data_HfAlMo
_chemical_formula_sum 'Hf4 Al4 Mo4'
_cell_length_a 8.658
_cell_length_b 5.244
_cell_length_c 5.244
_cell_angle_alpha 59.76
_cell_angle_beta 90.00
_cell_angle_gamma 90.00
_space_group_name_H-M_alt 'P 1'
_space_group_IT_number 1
loop_
_space_group_symop_operation_xyz
'x,y,z'
loop_
_atom_site_label
_atom_site_fract_x
_atom_site_fract_y
_atom_site_fract_z
Hf1 0.184 0.000 0.000
Hf2 0.314 0.335 0.335
Hf3 0.686 0.335 0.335
Hf4 0.816 0.000 0.000
Al1 0.251 0.674 0.674
Al2 0.500 0.329 0.839
Al3 0.500 0.839 0.329
Al4 0.749 0.674 0.674
Mo1 0.000 0.015 0.500
Mo2 0.000 0.500 0.015
Mo3 0.000 0.502 0.502
Mo4 0.500 0.839 0.839

---

Q: Number 9 is which compound?
A: HfNb3Al